Material: CoNiMo2F
Method: DFT, PBE with a Hubbard U
State: optimized geometry

Output
- Total DFT energy (no corrections): -3.671 eV/atom

Structure (CIF):
```
data_CoNiMo2F
_cell_length_a 5.204
_cell_length_b 5.204
_cell_length_c 3.659
_cell_angle_alpha 90.00
_cell_angle_beta 90.00
_cell_angle_gamma 90.00
_symmetry_space_group_name_H-M 'P 4/m m m'
_symmetry_Int_Tables_number 123
_symmetry_space_group_name_Hall '-P 4 2'
loop_
_atom_site_label
_atom_site_fract_x
_atom_site_fract_y
_atom_site_fract_z
_atom_site_occupancy
Co1 0.000 0.000 0.000 1
Ni1 0.500 0.500 0.500 1
Mo1 0.000 0.500 0.500 1
F1 0.500 0.500 0.000 1
```